Record 1
# TlTe2W PBE relaxed
data_TlTe2W
_chemical_formula_sum 'Tl1 Te2 W1'
_cell_length_a 5.357
_cell_length_b 5.357
_cell_length_c 3.500
_cell_angle_alpha 90.00
_cell_angle_beta 90.00
_cell_angle_gamma 90.00
_space_group_name_H-M_alt 'P 1'
_space_group_IT_number 1
loop_
_space_group_symop_operation_xyz
'x,y,z'
loop_
_atom_site_label
_atom_site_type_symbol
_atom_site_fract_x
_atom_site_fract_y
_atom_site_fract_z
_atom_site_occupancy
Tl1 Tl 0.000 0.000 0.000 1
Te1 Te 0.000 0.500 0.500 1
Te2 Te 0.500 0.000 0.500 1
W1 W 0.500 0.500 0.000 1
# Volume = 25.11 Å³ per atom
# Distance to the lowest polymorph of the same formula = 0.804 eV per atom


Record 2
# AlSnAsSe2 PBE relaxed
data_AlSnAsSe2
_chemical_formula_sum 'Al1 Sn1 As1 Se2'
_cell_length_a 4.957
_cell_length_b 4.957
_cell_length_c 4.895
_cell_angle_alpha 90.00
_cell_angle_beta 90.00
_cell_angle_gamma 90.00
_space_group_name_H-M_alt 'P 1'
_space_group_IT_number 1
loop_
_space_group_symop_operation_xyz
'x,y,z'
loop_
_atom_site_label
_atom_site_type_symbol
_atom_site_fract_x
_atom_site_fract_y
_atom_site_fract_z
_atom_site_occupancy
Al1 Al 0.000 0.000 0.000 1
Sn1 Sn 0.500 0.500 0.500 1
As1 As 0.000 0.000 0.500 1
Se1 Se 0.000 0.500 0.000 1
Se2 Se 0.500 0.000 0.000 1
# Volume = 24.06 Å³ per atom
# Distance to the lowest polymorph of the same formula = 0.000 eV per atom


Record 3
# NdAl4Cu2Ir PBE relaxed
data_NdAl4Cu2Ir
_chemical_formula_sum 'Nd1 Al4 Cu2 Ir1'
_cell_length_a 9.376
_cell_length_b 9.376
_cell_length_c 9.376
_cell_angle_alpha 25.90
_cell_angle_beta 25.90
_cell_angle_gamma 25.90
_space_group_name_H-M_alt 'P 1'
_space_group_IT_number 1
loop_
_space_group_symop_operation_xyz
'x,y,z'
loop_
_atom_site_label
_atom_site_type_symbol
_atom_site_fract_x
_atom_site_fract_y
_atom_site_fract_z
_atom_site_occupancy
Nd1 Nd 0.000 0.000 0.000 1
Al1 Al 0.133 0.133 0.133 1
Al2 Al 0.406 0.406 0.406 1
Al3 Al 0.594 0.594 0.594 1
Al4 Al 0.867 0.867 0.867 1
Cu1 Cu 0.237 0.237 0.237 1
Cu2 Cu 0.763 0.763 0.763 1
Ir1 Ir 0.500 0.500 0.500 1
# Volume = 17.31 Å³ per atom
# Energy of formation = -458 meV per atom


Record 4
# NdGa2Cu PBE relaxed
data_NdGa2Cu
_chemical_formula_sum 'Nd1 Ga2 Cu1'
_cell_length_a 5.856
_cell_length_b 5.856
_cell_length_c 5.856
_cell_angle_alpha 41.90
_cell_angle_beta 41.90
_cell_angle_gamma 41.90
_space_group_name_H-M_alt 'P 1'
_space_group_IT_number 1
loop_
_space_group_symop_operation_xyz
'x,y,z'
loop_
_atom_site_label
_atom_site_type_symbol
_atom_site_fract_x
_atom_site_fract_y
_atom_site_fract_z
_atom_site_occupancy
Nd1 Nd 0.000 0.000 0.000 1
Ga1 Ga 0.212 0.212 0.212 1
Ga2 Ga 0.788 0.788 0.788 1
Cu1 Cu 0.500 0.500 0.500 1
# Volume = 20.26 Å³ per atom
# Energy of formation = -482 meV per atom


The highest volume belongs to which entry? TlTe2W


Number 4 is which compound? NdGa2Cu